1.
# CdGa2Pd3

An optimized crystal structure of CdGa2Pd3 (PBE, Alexandria).

Cell: 3.102 3.102 9.889 Å, 90.00 90.00 90.00°
Element x y z (fractional)
Cd: 0.500 0.500 0.500
Ga: 0.500 0.500 0.841
Ga: 0.500 0.500 0.159
Pd: 0.000 0.000 0.000
Pd: 0.000 0.000 0.698
Pd: 0.000 0.000 0.302

Calculated values
**Crystal system**: tetragonal
**DOS at the Fermi energy**: 1.16 states/eV per cell
**Mass density**: 10.0 g cm⁻³
**Total DFT energy (no corrections)**: -4.31 eV/atom


2.
# CdGa3Pd3

An optimized crystal structure of CdGa3Pd3 (PBE, Alexandria).

Cell: 6.906 6.906 6.906 Å, 90.00 90.00 90.00°
Element x y z (fractional)
Ga: 0.250 0.000 0.500
Ga: 0.000 0.500 0.250
Ga: 0.500 0.750 0.000
Ga: 0.750 0.000 0.500
Ga: 0.000 0.500 0.750
Ga: 0.500 0.250 0.000
Pd: 0.000 0.250 0.500
Pd: 0.000 0.750 0.500
Pd: 0.500 0.000 0.750
Pd: 0.750 0.500 0.000
Pd: 0.500 0.000 0.250
Pd: 0.250 0.500 0.000
Cd: 0.500 0.500 0.500
Cd: 0.000 0.000 0.000

Calculated values
**Crystal system**: cubic
**DOS at the Fermi energy**: 7.23 states/eV per cell
**Mass density**: 6.5 g cm⁻³
**Total DFT energy (no corrections)**: -3.65 eV/atom


3.
# CdGaPd

An optimized crystal structure of CdGaPd (PBE, Alexandria).

Cell: 3.314 3.314 5.321 Å, 108.15 108.15 90.00°
Element x y z (fractional)
Pd: 0.687 0.687 0.374
Ga: 0.310 0.310 0.621
Cd: 0.003 0.003 0.005

Calculated values
**Crystal system**: tetragonal
**DOS at the Fermi energy**: 1.14 states/eV per cell
**Mass density**: 9.1 g cm⁻³
**Total DFT energy (no corrections)**: -3.38 eV/atom


4.
# Cd2GaPd3

An optimized crystal structure of Cd2GaPd3 (PBE, Alexandria).

Cell: 4.487 7.023 6.662 Å, 90.00 90.00 72.75°
Element x y z (fractional)
Cd: 0.000 0.000 0.000
Cd: 0.000 0.000 0.500
Cd: 0.332 0.331 0.500
Cd: 0.668 0.669 0.500
Ga: 0.338 0.321 0.000
Ga: 0.662 0.679 0.000
Pd: 0.822 0.351 0.778
Pd: 0.500 0.000 0.236
Pd: 0.178 0.649 0.222
Pd: 0.822 0.351 0.222
Pd: 0.178 0.649 0.778
Pd: 0.500 0.000 0.764

Calculated values
**Crystal system**: monoclinic
**DOS at the Fermi energy**: 5.68 states/eV per cell
**E above lowest polymorph**: 0 kJ/mol of formula units
**Mass density**: 10.2 g cm⁻³


5.
# Cd6GaPd12

An optimized crystal structure of Cd6GaPd12 (PBE, Alexandria).

Cell: 7.121 7.121 7.121 Å, 84.16 84.16 84.16°
Element x y z (fractional)
Cd: 0.750 0.810 0.402
Cd: 0.598 0.250 0.190
Cd: 0.190 0.598 0.250
Cd: 0.250 0.190 0.598
Cd: 0.402 0.750 0.810
Cd: 0.810 0.402 0.750
Ga: 0.000 0.000 0.000
Pd: 0.853 0.443 0.352
Pd: 0.352 0.853 0.443
Pd: 0.443 0.352 0.853
Pd: 0.147 0.557 0.648
Pd: 0.648 0.147 0.557
Pd: 0.557 0.648 0.147
Pd: 0.007 0.088 0.328
Pd: 0.912 0.672 0.993
Pd: 0.672 0.993 0.912
Pd: 0.993 0.912 0.672
Pd: 0.088 0.328 0.007
Pd: 0.328 0.007 0.088

Calculated values
**Crystal system**: trigonal
**DOS at the Fermi energy**: 8.09 states/eV per cell
**Mass density**: 9.4 g cm⁻³
**Total DFT energy (no corrections)**: -3.90 eV/atom


6.
# CdGa2Pd8

An optimized crystal structure of CdGa2Pd8 (PBE, Alexandria).

Cell: 4.089 6.423 7.256 Å, 109.23 106.37 90.00°
Element x y z (fractional)
Cd: 0.500 0.000 0.000
Ga: 0.783 0.337 0.567
Ga: 0.217 0.663 0.433
Pd: 0.396 0.526 0.793
Pd: 0.680 0.928 0.360
Pd: 0.844 0.773 0.687
Pd: 0.959 0.273 0.917
Pd: 0.156 0.227 0.313
Pd: 0.320 0.072 0.640
Pd: 0.604 0.474 0.207
Pd: 0.041 0.727 0.083

Calculated values
**Crystal system**: monoclinic
**DOS at the Fermi energy**: 5.68 states/eV per cell
**E above lowest polymorph**: 0 kJ/mol of formula units
**Mass density**: 10.7 g cm⁻³


7.
# Cd4GaPd2

An optimized crystal structure of Cd4GaPd2 (PBE, Alexandria).

Cell: 4.378 5.581 5.581 Å, 84.96 90.00 90.00°
Element x y z (fractional)
Pd: 0.500 0.189 0.189
Pd: 0.500 0.811 0.811
Ga: 0.000 0.000 0.000
Cd: 0.000 0.000 0.500
Cd: 0.000 0.500 0.000
Cd: 0.500 0.315 0.685
Cd: 0.500 0.685 0.315

Calculated values
**Crystal system**: orthorhombic
**DOS at the Fermi energy**: 1.36 states/eV per cell
**Mass density**: 9.0 g cm⁻³
**Total DFT energy (no corrections)**: -2.72 eV/atom


8.
# Cd2Ga2Pd7

An optimized crystal structure of Cd2Ga2Pd7 (PBE, Alexandria).

Cell: 5.992 5.634 5.994 Å, 81.44 100.13 98.62°
Element x y z (fractional)
Cd: 0.816 0.500 0.816
Cd: 0.184 0.500 0.184
Ga: 0.732 0.084 0.268
Ga: 0.268 0.916 0.732
Pd: 0.027 0.253 0.566
Pd: 0.565 0.747 0.027
Pd: 0.973 0.747 0.434
Pd: 0.435 0.253 0.973
Pd: 0.000 0.000 0.000
Pd: 0.497 0.745 0.503
Pd: 0.503 0.255 0.497

Calculated values
**Crystal system**: monoclinic
**DOS at the Fermi energy**: 4.00 states/eV per cell
**Mass density**: 9.4 g cm⁻³
**Total DFT energy (no corrections)**: -4.30 eV/atom


9.
# CdGa2Pd

An optimized crystal structure of CdGa2Pd (PBE, Alexandria).

Cell: 5.145 7.753 14.689 Å, 90.00 90.00 90.00°
Element x y z (fractional)
Cd: 0.462 0.250 0.139
Cd: 0.962 0.750 0.361
Cd: 0.538 0.750 0.861
Cd: 0.038 0.250 0.639
Cd: 0.745 0.250 0.388
Cd: 0.245 0.750 0.112
Cd: 0.255 0.750 0.612
Cd: 0.755 0.250 0.888
Ga: 0.948 0.050 0.212
Ga: 0.448 0.950 0.288
Ga: 0.052 0.550 0.788
Ga: 0.552 0.450 0.712
Ga: 0.052 0.950 0.788
Ga: 0.552 0.050 0.712
Ga: 0.948 0.450 0.212
Ga: 0.448 0.550 0.288
Ga: 0.738 0.554 0.033
Ga: 0.238 0.446 0.467
Ga: 0.262 0.054 0.967
Ga: 0.762 0.946 0.533
Ga: 0.262 0.446 0.967
Ga: 0.762 0.554 0.533
Ga: 0.738 0.946 0.033
Ga: 0.238 0.054 0.467
Pd: 0.235 0.250 0.315
Pd: 0.735 0.750 0.185
Pd: 0.765 0.750 0.685
Pd: 0.265 0.250 0.815
Pd: 0.960 0.250 0.069
Pd: 0.460 0.750 0.431
Pd: 0.040 0.750 0.931
Pd: 0.540 0.250 0.569

Calculated values
**Crystal system**: orthorhombic
**DOS at the Fermi energy**: 8.99 states/eV per cell
**Mass density**: 8.1 g cm⁻³
**Total DFT energy (no corrections)**: -3.34 eV/atom


10.
# Cd2GaPd2

An optimized crystal structure of Cd2GaPd2 (PBE, Alexandria).

Cell: 6.045 5.935 10.467 Å, 90.00 90.02 90.00°
Element x y z (fractional)
Cd: 0.500 0.250 0.974
Cd: 0.000 0.250 0.974
Cd: 0.000 0.750 0.026
Cd: 0.500 0.750 0.026
Cd: 0.000 0.750 0.310
Cd: 0.500 0.750 0.310
Cd: 0.500 0.250 0.690
Cd: 0.000 0.250 0.690
Ga: 0.500 0.250 0.348
Ga: 0.500 0.750 0.652
Ga: 0.000 0.250 0.348
Ga: 0.000 0.750 0.652
Pd: 0.750 0.075 0.179
Pd: 0.250 0.425 0.179
Pd: 0.750 0.575 0.821
Pd: 0.250 0.925 0.821
Pd: 0.750 0.494 0.505
Pd: 0.250 0.006 0.505
Pd: 0.750 0.994 0.495
Pd: 0.250 0.506 0.495

Calculated values
**Crystal system**: orthorhombic
**DOS at the Fermi energy**: 7.87 states/eV per cell
**E above lowest polymorph**: 13 kJ/mol of formula units
**Mass density**: 9.0 g cm⁻³


11.
# CdGa2Pd

An optimized crystal structure of CdGa2Pd (PBE, Alexandria).

Cell: 4.124 4.111 4.111 Å, 90.00 90.00 90.00°
Element x y z (fractional)
Ga: 0.000 0.000 0.500
Ga: 0.000 0.500 0.000
Pd: 0.500 0.000 0.000
Cd: 0.500 0.500 0.500

Calculated values
**Crystal system**: tetragonal
**DOS at the Fermi energy**: 1.52 states/eV per cell
**Mass density**: 8.5 g cm⁻³
**Total DFT energy (no corrections)**: -3.20 eV/atom


12.
# CdGaPd5

An optimized crystal structure of CdGaPd5 (PBE, Alexandria).

Cell: 7.073 7.073 12.353 Å, 38.19 38.19 57.81°
Element x y z (fractional)
Cd: 0.550 0.450 0.250
Cd: 0.450 0.550 0.750
Ga: 0.000 0.000 0.000
Ga: 0.000 0.000 0.500
Pd: 0.477 0.807 0.421
Pd: 0.051 0.534 0.574
Pd: 0.807 0.477 0.921
Pd: 0.951 0.049 0.250
Pd: 0.466 0.949 0.926
Pd: 0.534 0.051 0.074
Pd: 0.049 0.951 0.750
Pd: 0.193 0.523 0.079
Pd: 0.949 0.466 0.426
Pd: 0.523 0.193 0.579

Calculated values
**Crystal system**: monoclinic
**DOS at the Fermi energy**: 5.57 states/eV per cell
**E above lowest polymorph**: 18 kJ/mol of formula units
**Mass density**: 10.3 g cm⁻³


> Which value of DOS at the Fermi energy does entry 6 give?

5.68 states/eV per cell


> Among the records above, which one has the highest DOS at the Fermi energy?

number 9